(1)
## LiMgAu2 (GGA-PBEsol)

Data for a relaxed structure of LiMgAu2.

## Properties
Energy of formation from the pure elements ... -0.5462 eV/atom
E ... -3.4292 eV/atom
Volume ... 16.09 A^3/atom

abc: 3.952 3.952 8.239
angles: 90.00 90.00 90.00
Space group I-4m2 (No. 119)
Inequivalent atoms, fractional coordinates:
Li 0.000 0.000 0.000 [2 per cell]
Mg 0.000 0.500 0.750 [2 per cell]
Au 0.000 0.000 0.500 [2 per cell]
Au 0.000 0.500 0.250 [2 per cell]

=====

(2)
## BiS2O8 (GGA-PBEsol)

Data for a relaxed structure of BiS2O8.

## Properties
E ... -6.2089 eV/atom
Volume ... 15.36 A^3/atom
Formation energy from raw total energies ... -1204 meV/atom

abc: 9.729 13.961 9.952
angles: 90.00 90.00 90.00
Space group Pbca (No. 61)
Inequivalent atoms, fractional coordinates:
Bi 0.103 0.129 0.145 [8 per cell]
S 0.075 0.730 0.093 [8 per cell]
S 0.187 0.010 0.850 [8 per cell]
O 0.026 0.735 0.237 [8 per cell]
O 0.029 0.678 0.530 [8 per cell]
O 0.030 0.645 0.025 [8 per cell]
O 0.043 0.509 0.299 [8 per cell]
O 0.183 0.014 0.001 [8 per cell]
O 0.229 0.079 0.324 [8 per cell]
O 0.230 0.740 0.097 [8 per cell]
O 0.239 0.095 0.787 [8 per cell]

=====

(3)
## ReP2PdS (GGA-PBEsol)

Data for a relaxed structure of ReP2PdS.

## Properties
E ... -6.3139 eV/atom
Volume ... 18.95 A^3/atom
Formation energy from raw total energies ... 738 meV/atom

abc: 4.592 4.592 4.492
angles: 90.00 90.00 90.00
Space group P4/mmm (No. 123)
Inequivalent atoms, fractional coordinates:
Re 0.000 0.000 0.000 [1 per cell]
P 0.000 0.500 0.000 [2 per cell]
Pd 0.500 0.500 0.500 [1 per cell]
S 0.000 0.000 0.500 [1 per cell]

=====

(4)
## Sr2MnGe2O7 (GGA-PBEsol)

Data for a relaxed structure of Sr2MnGe2O7.

## Properties
E ... -7.1616 eV/atom
Volume ... 15.03 A^3/atom
Formation energy from raw total energies ... -2156 meV/atom

abc: 8.249 8.249 5.300
angles: 90.00 90.00 90.00
Space group P-42_1m (No. 113)
Inequivalent atoms, fractional coordinates:
Sr 0.166 0.334 0.007 [4 per cell]
Mn 0.000 0.000 0.500 [2 per cell]
Ge 0.142 0.642 0.552 [4 per cell]
O 0.000 0.500 0.688 [2 per cell]
O 0.081 0.818 0.715 [8 per cell]
O 0.138 0.638 0.226 [4 per cell]

=====

(5)
## SrMgTc (GGA-PBEsol)

Data for a relaxed structure of SrMgTc.

## Properties
Energy of formation from the pure elements ... 0.8458 eV/atom
E ... -4.0955 eV/atom
Volume ... 22.25 A^3/atom

abc: 3.1635 3.1635 7.7018
angles: 90.00 90.00 120.00
Space group P3m1 (No. 156)
Inequivalent atoms, fractional coordinates:
Sr 0.0000 0.0000 0.0000 [1 per cell]
Mg 0.6667 0.3333 0.4160 [1 per cell]
Tc 0.3333 0.6667 0.6876 [1 per cell]

=====

(6)
## Y2MoBr (GGA-PBEsol)

Data for a relaxed structure of Y2MoBr.

## Properties
E ... -6.6338 eV/atom
Volume ... 22.21 A^3/atom
Formation energy from raw total energies ... 187 meV/atom

abc: 7.083 7.083 7.083
angles: 90.00 90.00 90.00
Space group Fm-3m (No. 225)
Inequivalent atoms, fractional coordinates:
Y 0.250 0.250 0.250 [8 per cell]
Mo 0.000 0.000 0.000 [4 per cell]
Br 0.000 0.000 0.500 [4 per cell]

=====

(7)
## TaSe2Br (GGA-PBEsol)

Data for a relaxed structure of TaSe2Br.

## Properties
E ... -5.1992 eV/atom
Volume ... 19.56 A^3/atom
Formation energy from raw total energies ... 331 meV/atom

abc: 5.114 8.892 3.442
angles: 90.00 90.00 90.00
Space group Cmmm (No. 65)
Inequivalent atoms, fractional coordinates:
Ta 0.000 0.000 0.000 [2 per cell]
Se 0.250 0.250 0.500 [4 per cell]
Br 0.000 0.500 0.000 [2 per cell]

=====

(8)
## AsPd2Br (GGA-PBEsol)

Data for a relaxed structure of AsPd2Br.

## Properties
E ... -4.6748 eV/atom
Volume ... 16.65 A^3/atom
Formation energy from raw total energies ... 49 meV/atom

abc: 6.434 6.434 6.434
angles: 90.00 90.00 90.00
Space group Fm-3m (No. 225)
Inequivalent atoms, fractional coordinates:
As 0.000 0.000 0.000 [4 per cell]
Pd 0.250 0.250 0.250 [8 per cell]
Br 0.000 0.000 0.500 [4 per cell]

=====

(9)
## BaSrW2 (GGA-PBEsol)

Data for a relaxed structure of BaSrW2.

## Properties
Energy of formation from the pure elements ... 0.9510 eV/atom
E ... -6.9501 eV/atom
Volume ... 30.75 A^3/atom

abc: 8.405 3.291 8.907
angles: 90.00 93.07 90.00
Space group Cm (No. 8)
Inequivalent atoms, fractional coordinates:
Ba 0.000 0.000 0.000 [2 per cell]
Sr 0.220 0.000 0.580 [2 per cell]
W 0.254 0.500 0.256 [2 per cell]
W 0.473 0.000 0.342 [2 per cell]

=====

(10)
## ZnFe4W (GGA-PBEsol)

Data for a relaxed structure of ZnFe4W.

## Properties
Energy of formation from the pure elements ... 0.0420 eV/atom
E ... -8.4986 eV/atom
Volume ... 11.70 A^3/atom

abc: 6.549 6.549 6.549
angles: 90.00 90.00 90.00
Space group F-43m (No. 216)
Inequivalent atoms, fractional coordinates:
Zn 0.000 0.000 0.000 [4 per cell]
Fe 0.125 0.125 0.375 [16 per cell]
W 0.250 0.250 0.750 [4 per cell]

=====

(11)
## ScSiRu2 (GGA-PBEsol)

Data for a relaxed structure of ScSiRu2.

## Properties
E ... -8.8671 eV/atom
Volume ... 13.79 A^3/atom
Formation energy from raw total energies ... -693 meV/atom

abc: 4.225 4.225 3.090
angles: 90.00 90.00 90.00
Space group P4/mmm (No. 123)
Inequivalent atoms, fractional coordinates:
Sc 0.000 0.000 0.000 [1 per cell]
Si 0.500 0.500 0.000 [1 per cell]
Ru 0.000 0.500 0.500 [2 per cell]

=====

(12)
## SrCrMo3 (GGA-PBEsol)

Data for a relaxed structure of SrCrMo3.

## Properties
Energy of formation from the pure elements ... 3.2127 eV/atom
E ... -6.2645 eV/atom
Volume ... 20.19 A^3/atom

abc: 4.656 4.656 4.656
angles: 90.00 90.00 90.00
Space group Pm-3m (No. 221)
Inequivalent atoms, fractional coordinates:
Sr 0.000 0.000 0.000 [1 per cell]
Cr 0.500 0.500 0.500 [1 per cell]
Mo 0.000 0.000 0.500 [3 per cell]

=====

(13)
## KTcCl2 (GGA-PBEsol)

Data for a relaxed structure of KTcCl2.

## Properties
E ... -4.4778 eV/atom
Volume ... 21.14 A^3/atom
Formation energy from raw total energies ... -374 meV/atom

abc: 4.923 4.923 3.490
angles: 90.00 90.00 90.00
Space group P4/mmm (No. 123)
Inequivalent atoms, fractional coordinates:
K 0.000 0.000 0.000 [1 per cell]
Tc 0.500 0.500 0.500 [1 per cell]
Cl 0.000 0.500 0.500 [2 per cell]

=====

(14)
## CaYNb2O7 (GGA-PBEsol)

Data for a relaxed structure of CaYNb2O7.

## Properties
E ... -9.0292 eV/atom
Volume ... 12.67 A^3/atom
Formation energy from raw total energies ... -2907 meV/atom

abc: 7.215 7.415 10.417
angles: 90.00 90.00 90.00
Space group Imma (No. 74)
Inequivalent atoms, fractional coordinates:
Ca 0.250 0.250 0.250 [4 per cell]
Y 0.000 0.000 0.000 [4 per cell]
Nb 0.000 0.000 0.500 [4 per cell]
Nb 0.250 0.250 0.750 [4 per cell]
O 0.000 0.250 0.117 [4 per cell]
O 0.000 0.250 0.430 [4 per cell]
O 0.000 0.250 0.842 [4 per cell]
O 0.208 0.045 0.624 [16 per cell]

=====

(15)
## TmMn6Al6 (GGA-PBEsol)

Data for a relaxed structure of TmMn6Al6.

## Properties
Energy of formation from the pure elements ... -0.2292 eV/atom
E ... -6.9996 eV/atom
Volume ... 13.40 A^3/atom

abc: 4.864 8.407 8.523
angles: 90.00 90.00 90.00
Space group Immm (No. 71)
Inequivalent atoms, fractional coordinates:
Tm 0.000 0.000 0.000 [2 per cell]
Mn 0.000 0.500 0.260 [4 per cell]
Mn 0.250 0.250 0.250 [8 per cell]
Al 0.000 0.000 0.341 [4 per cell]
Al 0.000 0.307 0.500 [4 per cell]
Al 0.000 0.347 0.000 [4 per cell]

=====

(16)
## ZrNi2Cl (GGA-PBEsol)

Data for a relaxed structure of ZrNi2Cl.

## Properties
E ... -5.9313 eV/atom
Volume ... 14.10 A^3/atom
Formation energy from raw total energies ... -78 meV/atom

abc: 2.949 4.183 4.573
angles: 90.00 90.00 90.00
Space group Pmmm (No. 47)
Inequivalent atoms, fractional coordinates:
Zr 0.000 0.000 0.000 [1 per cell]
Ni 0.000 0.500 0.500 [1 per cell]
Ni 0.500 0.000 0.500 [1 per cell]
Cl 0.500 0.500 0.000 [1 per cell]

=====

(17)
## KCaSb2 (GGA-PBEsol)

Data for a relaxed structure of KCaSb2.

## Properties
E ... -3.6090 eV/atom
Volume ... 35.03 A^3/atom
Formation energy from raw total energies ... -514 meV/atom

abc: 3.986 4.944 14.219
angles: 90.00 90.00 90.00
Space group Imm2 (No. 44)
Inequivalent atoms, fractional coordinates:
K 0.000 0.000 0.000 [2 per cell]
Ca 0.000 0.500 0.246 [2 per cell]
Sb 0.000 0.000 0.383 [2 per cell]
Sb 0.000 0.500 0.721 [2 per cell]

=====

(18)
## TiAsN2O (GGA-PBEsol)

Data for a relaxed structure of TiAsN2O.

## Properties
E ... -7.2329 eV/atom
Volume ... 11.65 A^3/atom
Formation energy from raw total energies ... -87 meV/atom

abc: 3.963 3.963 3.711
angles: 90.00 90.00 90.00
Space group P4/mmm (No. 123)
Inequivalent atoms, fractional coordinates:
Ti 0.000 0.000 0.000 [1 per cell]
As 0.500 0.500 0.500 [1 per cell]
N 0.000 0.500 0.000 [2 per cell]
O 0.000 0.000 0.500 [1 per cell]

=====

(19)
## MnOsRh2 (GGA-PBEsol)

Data for a relaxed structure of MnOsRh2.

## Properties
Energy of formation from the pure elements ... 0.2227 eV/atom
E ... -9.3407 eV/atom
Volume ... 13.50 A^3/atom

abc: 2.760 4.313 9.076
angles: 90.00 90.00 90.00
Space group Imm2 (No. 44)
Inequivalent atoms, fractional coordinates:
Mn 0.000 0.000 0.000 [2 per cell]
Os 0.000 0.500 0.718 [2 per cell]
Rh 0.000 0.000 0.492 [2 per cell]
Rh 0.000 0.500 0.275 [2 per cell]

=====

(20)
## TaMo2As (GGA-PBEsol)

Data for a relaxed structure of TaMo2As.

## Properties
Energy of formation from the pure elements ... 0.1772 eV/atom
E ... -10.1211 eV/atom
Volume ... 16.43 A^3/atom

abc: 3.1117 3.1117 23.5166
angles: 90.00 90.00 120.00
Space group R3m (No. 160, hexagonal axes)
Inequivalent atoms, fractional coordinates:
Ta 0.0000 0.0000 0.0000 [3 per cell]
Mo 0.0000 0.0000 0.4999 [3 per cell]
Mo 0.0000 0.0000 0.7516 [3 per cell]
As 0.0000 0.0000 0.2476 [3 per cell]